Below is Mg2Hg2Sb after structural relaxation, with properties calculated at the PBE level.

Geometry as POSCAR:
```
Mg2Hg2Sb
1.0
8.3469 0.0000 0.0000
0.0000 8.3469 0.0000
0.0000 0.0000 3.3132
Sb Mg Hg
2 4 4
Direct
0.0000 0.0000 0.0000
0.5000 0.5000 0.0000
0.1654 0.6654 0.5000
0.6654 0.8346 0.5000
0.8346 0.3346 0.5000
0.3346 0.1654 0.5000
0.3673 0.8673 0.0000
0.8673 0.6327 0.0000
0.6327 0.1327 0.0000
0.1327 0.3673 0.0000
```

## Properties
The formation energy (no corrections) comes out at -0.104 eV per atom. The calculation puts the density of states at the Fermi level at 0.3761 states/eV/atom.